Here is a relaxed structure of LiCuBO2 from the Alexandria database. Energies are from PBE.

```
5
Lattice="3.732 0.000 0.000 0.000 3.732 0.000 0.000 0.000 4.264" Properties=species:S:1:pos:R:3 pbc="T T T"
Li 0.000 0.000 0.000
Cu 0.000 0.000 2.132
B 1.866 1.866 0.000
O 0.000 1.866 2.132
O 1.866 0.000 2.132
```

Properties
**Raw formation energy**: 0.666 eV/atom
**E**: -3.855 eV per atom



Here is a relaxed structure of Ca2ReBPd from the Alexandria database. Energies are from PBE.

```
5
Lattice="5.415 0.000 0.000 0.000 5.415 0.000 0.000 0.000 4.781" Properties=species:S:1:pos:R:3 pbc="T T T"
Ca 0.000 2.707 0.000
Ca 2.707 0.000 0.000
Re 0.000 0.000 2.390
B 2.707 2.707 2.390
Pd 0.000 0.000 0.000
```

Properties
**Formation enthalpy at 0 K**: 1.429 eV/atom
**E**: -4.235 eV per atom